BaAgSn | PBE | optimized geometry

Geometry as POSCAR:
```
BaAgSn
1.0
4.986 0.000 0.000
0.000 4.986 0.000
0.000 0.000 7.780
Ba Ag Sn
2 2 2
direct
0.250 0.250 0.183
0.750 0.750 0.817
0.250 0.750 0.500
0.750 0.250 0.500
0.250 0.250 0.694
0.750 0.750 0.306
```

Computed properties:
Its density is 6249 kg/m³. The total magnetic moment is 0.00 μB/f.u. As for the calculated volume: 193.4 Å³/cell. The calculated total energy is -20.19 eV for the cell shown. As for the energy of formation: -440 meV per atom.